Model A:
Material: LiGaI2
Method: DFT, PBE
State: relaxed

Summary:
Its magnetic moment is 0.0 μB per formula unit. As for the space group: I-42d, No. 122.

a = 7.1359 Å, b = 7.1359 Å, c = 8.2464 Å
α = 64.36°, β = 64.36°, γ = 90.00°
Positions (direct):
I 0.3750 0.4274 0.7500
Ga 0.7500 0.2500 0.5000
I 0.5726 0.1250 0.2500
I 0.1774 0.6250 0.2500
Li 0.2500 0.7500 0.5000
I 0.8750 0.8226 0.7500
Ga 0.0000 0.0000 0.0000
Li 0.5000 0.5000 0.0000

Model B:
Material: LiGaI2
Method: DFT, PBE
State: relaxed

Summary:
Its magnetic moment is 0.0 μB per formula unit. As for the space group: Fm-3m, No. 225.

a = 5.6084 Å, b = 5.6084 Å, c = 5.6084 Å
α = 60.00°, β = 60.00°, γ = 60.00°
Positions (direct):
I 0.2500 0.2500 0.2500
I 0.7500 0.7500 0.7500
Ga 0.5000 0.5000 0.5000
Li 0.0000 0.0000 0.0000

Which structure is the least stable? The one labeled model B.

Model A:
Material: LiGa2I
Method: DFT, PBE
State: relaxed

Summary:
Its magnetic moment is 0.0 μB per formula unit. As for the space group: Fm-3m, No. 225.

a = 5.3595 Å, b = 5.3595 Å, c = 5.3595 Å
α = 60.00°, β = 60.00°, γ = 60.00°
Positions (direct):
I 0.5000 0.5000 0.5000
Ga 0.7500 0.7500 0.7500
Li 0.0000 0.0000 0.0000
Ga 0.2500 0.2500 0.2500

Model B:
Material: LiGa2I
Method: DFT, PBE
State: relaxed

Summary:
Its magnetic moment is 0.0 μB per formula unit. As for the space group: I-42d, No. 122.

a = 8.6062 Å, b = 8.6062 Å, c = 6.6830 Å
α = 49.92°, β = 49.92°, γ = 90.00°
Positions (direct):
Ga 0.1529 0.6250 0.2500
Ga 0.5971 0.1250 0.2500
Li 0.2500 0.7500 0.5000
I 0.7500 0.2500 0.5000
Li 0.5000 0.5000 0.0000
I 0.0000 0.0000 0.0000
Ga 0.3750 0.4029 0.7500
Ga 0.8750 0.8471 0.7500

Which structure is the least stable? The one labeled model A.

Model A:
Material: LiGa2I8
Method: DFT, PBE
State: relaxed

Summary:
Its magnetic moment is 0.0 μB per formula unit. As for the space group: C2/m, No. 12.

a = 6.8106 Å, b = 8.7816 Å, c = 8.7816 Å
α = 77.81°, β = 83.53°, γ = 83.53°
Positions (direct):
I 0.2437 0.2802 0.9073
I 0.2675 0.8059 0.8059
I 0.7563 0.0927 0.7198
I 0.8135 0.6296 0.6296
I 0.7325 0.1941 0.1941
I 0.1865 0.3704 0.3704
I 0.7563 0.7198 0.0927
Li 0.0000 0.0000 0.0000
Ga 0.6460 0.8101 0.8101
I 0.2437 0.9073 0.2802
Ga 0.3540 0.1899 0.1899

Model B:
Material: LiGa2I8
Method: DFT, PBE
State: relaxed

Summary:
Its magnetic moment is 0.0 μB per formula unit. As for the space group: P-3m1, No. 164.

a = 8.5504 Å, b = 8.2871 Å, c = 8.2871 Å
α = 120.00°, β = 90.00°, γ = 90.00°
Positions (direct):
I 0.7368 0.8402 0.1598
I 0.2632 0.6805 0.8402
Ga 0.1782 0.3333 0.6667
I 0.7368 0.3195 0.1598
I 0.1225 0.6667 0.3333
I 0.7368 0.8402 0.6805
I 0.8775 0.3333 0.6667
Li 0.5000 0.0000 0.0000
I 0.2632 0.1598 0.3195
Ga 0.8218 0.6667 0.3333
I 0.2632 0.1598 0.8402

Which structure is the least stable? The one labeled model B.

Model A:
Material: LiGaI2O
Method: DFT, PBE
State: relaxed

Summary:
Its magnetic moment is 0.0 μB per formula unit. As for the space group: P4/mmm, No. 123.

a = 5.8385 Å, b = 5.8385 Å, c = 3.6734 Å
α = 90.00°, β = 90.00°, γ = 90.00°
Positions (direct):
I 0.5000 0.0000 0.0000
Ga 0.0000 0.0000 0.0000
I 0.0000 0.5000 0.0000
O 0.0000 0.0000 0.5000
Li 0.5000 0.5000 0.5000

Model B:
Material: LiGaI2O
Method: DFT, PBE
State: relaxed

Summary:
Its magnetic moment is 1.7 μB per formula unit. As for the space group: P4/mmm, No. 123.

a = 5.9036 Å, b = 5.9036 Å, c = 3.7115 Å
α = 90.00°, β = 90.00°, γ = 90.00°
Positions (direct):
O 0.0000 0.0000 0.5000
Li 0.0000 0.0000 0.0000
I 0.0000 0.5000 0.0000
I 0.5000 0.0000 0.0000
Ga 0.5000 0.5000 0.5000

Which structure is the least stable? The one labeled model B.

Model A:
Material: LiGaIO2
Method: DFT, PBE
State: relaxed

Summary:
Its magnetic moment is 0.0 μB per formula unit. As for the space group: P4/mmm, No. 123.

a = 3.7915 Å, b = 3.7915 Å, c = 6.5425 Å
α = 90.00°, β = 90.00°, γ = 90.00°
Positions (direct):
Li 0.5000 0.5000 0.5000
O 0.5000 0.0000 0.0000
Ga 0.0000 0.0000 0.0000
I 0.0000 0.0000 0.5000
O 0.0000 0.5000 0.0000

Model B:
Material: LiGaIO2
Method: DFT, PBE
State: relaxed

Summary:
Its magnetic moment is 0.0 μB per formula unit. As for the space group: P4/mmm, No. 123.

a = 3.9637 Å, b = 3.9637 Å, c = 5.2838 Å
α = 90.00°, β = 90.00°, γ = 90.00°
Positions (direct):
I 0.0000 0.0000 0.5000
Ga 0.5000 0.5000 0.5000
Li 0.0000 0.0000 0.0000
O 0.0000 0.5000 0.0000
O 0.5000 0.0000 0.0000

Which structure is the least stable? The one labeled model B.

Model A:
Material: Li2ScGaI
Method: DFT, PBE
State: relaxed

Summary:
Its magnetic moment is 0.6 μB per formula unit. As for the space group: P4/mmm, No. 123.

a = 4.8469 Å, b = 6.1897 Å, c = 4.8469 Å
α = 90.00°, β = 90.00°, γ = 90.00°
Positions (direct):
Ga 0.0000 0.5000 0.0000
I 0.0000 0.0000 0.0000
Li 0.0000 0.0000 0.5000
Sc 0.5000 0.5000 0.5000
Li 0.5000 0.0000 0.0000

Model B:
Material: Li2ScGaI
Method: DFT, PBE
State: relaxed

Summary:
Its magnetic moment is 0.0 μB per formula unit. As for the space group: P4/mmm, No. 123.

a = 5.0033 Å, b = 5.1874 Å, c = 5.0033 Å
α = 90.00°, β = 90.00°, γ = 90.00°
Positions (direct):
Ga 0.0000 0.0000 0.0000
Li 0.0000 0.0000 0.5000
Sc 0.0000 0.5000 0.0000
Li 0.5000 0.0000 0.0000
I 0.5000 0.5000 0.5000

Which structure is the least stable? The one labeled model A.

Model A:
Material: MgGaI3
Method: DFT, PBE
State: relaxed

Summary:
Its magnetic moment is 0.0 μB per formula unit. As for the space group: Pm-3m, No. 221.

a = 5.7647 Å, b = 5.7647 Å, c = 5.7647 Å
α = 90.00°, β = 90.00°, γ = 90.00°
Positions (direct):
Ga 0.5000 0.5000 0.5000
I 0.0000 0.0000 0.5000
I 0.0000 0.5000 0.0000
Mg 0.0000 0.0000 0.0000
I 0.5000 0.0000 0.0000

Model B:
Material: MgGaI3
Method: DFT, PBE
State: relaxed

Summary:
Its magnetic moment is 0.0 μB per formula unit. As for the space group: P2_1/m, No. 11.

a = 4.5292 Å, b = 7.5422 Å, c = 14.4634 Å
α = 114.68°, β = 90.00°, γ = 90.00°
Positions (direct):
I 0.2500 0.5071 0.7076
Mg 0.2500 0.1724 0.7337
I 0.7500 0.9449 0.6390
Ga 0.2500 0.1729 0.1599
I 0.7500 0.4929 0.2924
Ga 0.7500 0.8271 0.8401
I 0.7500 0.8118 0.0741
I 0.2500 0.0551 0.3610
Mg 0.7500 0.8276 0.2663
I 0.2500 0.1882 0.9259

Which structure is the least stable? The one labeled model A.

Model A:
Material: MgGaI3
Method: DFT, PBE
State: relaxed

Summary:
Its magnetic moment is 0.0 μB per formula unit. As for the space group: P-1, No. 2.

a = 8.8447 Å, b = 7.7208 Å, c = 11.1131 Å
α = 62.85°, β = 129.44°, γ = 127.61°
Positions (direct):
I 0.1496 0.1684 0.1658
I 0.8118 0.6714 0.3796
Mg 0.7828 0.7469 0.0853
I 0.8504 0.8316 0.8342
I 0.1882 0.3286 0.6204
I 0.3519 0.7150 0.8871
I 0.6481 0.2850 0.1129
Ga 0.6708 0.1890 0.4276
Ga 0.3292 0.8110 0.5724
Mg 0.2172 0.2531 0.9147

Model B:
Material: MgGaI3
Method: DFT, PBE
State: relaxed

Summary:
Its magnetic moment is 0.0 μB per formula unit. As for the space group: Pm-3m, No. 221.

a = 5.7027 Å, b = 5.7027 Å, c = 5.7027 Å
α = 90.00°, β = 90.00°, γ = 90.00°
Positions (direct):
I 0.0000 0.0000 0.5000
Mg 0.5000 0.5000 0.5000
Ga 0.0000 0.0000 0.0000
I 0.5000 0.0000 0.0000
I 0.0000 0.5000 0.0000

Which structure is the least stable? The one labeled model B.